KPrCuO2: optimized geometry, PBE.

Lattice parameters (Å, degrees): 5.3329 5.9508 7.1259 90.36 90.00 90.00
Fractional positions:
K 0.9978 0.5000 0.7500
K 0.0022 0.5000 0.2500
Pr 0.5002 0.0000 0.2500
Pr 0.4998 0.0000 0.7500
Cu 0.0000 0.0000 0.0000
Cu 0.0000 0.0000 0.5000
O 0.7123 0.8201 0.9990
O 0.7123 0.1799 0.5010
O 0.2877 0.8201 0.4990
O 0.2877 0.1799 0.0010

The value obtained for the formation energy without anion corrections is -1558.6 meV per atom. The crystal system is monoclinic.

***

K2CuPt2O6: optimized geometry, PBE.

Lattice parameters (Å, degrees): 5.5725 5.5725 6.2893 97.62 97.62 122.00
Site moments in Bohr magnetons follow the coordinates.
Fractional positions:
K 0.8408 0.1592 0.0000  0.00
K 0.1592 0.8408 0.0000  0.00
Cu 0.0000 0.0000 0.5000  0.58
Pt 0.3341 0.6659 0.5000  0.01
Pt 0.6659 0.3341 0.5000  0.01
O 0.7224 0.7224 0.6561  0.10
O 0.0455 0.4010 0.6690  0.04
O 0.2776 0.2776 0.3439  0.10
O 0.4010 0.0455 0.6690  0.04
O 0.9545 0.5990 0.3310  0.04
O 0.5990 0.9545 0.3310  0.04

The value obtained for the formation energy without anion corrections is -865.0 meV per atom. The crystal system is monoclinic.

***

K2Cu2PtO6: optimized geometry, PBE.

Lattice parameters (Å, degrees): 5.7939 5.7939 6.6718 64.26 64.26 60.00
Site moments in Bohr magnetons follow the coordinates.
Fractional positions:
K 0.7915 0.7915 0.6256  0.00
K 0.2085 0.2085 0.3744  0.00
Cu 0.3951 0.3951 0.8146  0.57
Cu 0.6049 0.6049 0.1854  0.57
Pt 0.0000 0.0000 0.0000  0.29
O 0.7727 0.7727 0.2189  0.28
O 0.2358 0.7727 0.2189  0.28
O 0.7727 0.2358 0.2189  0.28
O 0.2273 0.7642 0.7811  0.28
O 0.7642 0.2273 0.7811  0.28
O 0.2273 0.2273 0.7811  0.28

The value obtained for the formation energy without anion corrections is -764.3 meV per atom. The crystal system is trigonal.